CaAc2As | GGA-PBE | relaxed

Output
* polymorph energy (0 for the lowest one): 0.257 eV per atom
* DFT formation energy: -0.346 eV/atom
* density of states at the Fermi level: 0.924 states/eV per atom
* raw total energy: -16.3 eV/cell
* volume: 133.4 Å³/cell

Unit cell a=5.5351 b=5.5351 c=4.3551 alpha=90.00 beta=90.00 gamma=90.00
With the nearest neighbours (Å) after each atom.
Space group P4/mmm (No. 123)
Unique sites:
Ca 0.0000 0.0000 0.0000 (multiplicity 1)  8 Ac 3.52, 4 As 3.91
Ac 0.0000 0.5000 0.5000 (multiplicity 2)  4 Ca 3.52, 4 As 3.52, 4 Ac 3.91
As 0.5000 0.5000 0.0000 (multiplicity 1)  8 Ac 3.52, 4 Ca 3.91

***

PaBSe6 | GGA-PBE | relaxed

Output
* energy relative to the elements, uncorrected: -0.523 eV/atom
* density of states at the Fermi level: 0.017 states/eV per atom
* raw total energy: -41.3 eV/cell
* volume: 236.6 Å³/cell

Unit cell a=3.9852 b=7.8068 c=8.4076 alpha=68.57 beta=84.13 gamma=76.36
With the nearest neighbours (Å) after each atom.
Space group P-1 (No. 2)
Unique sites:
Pa 0.0000 0.0000 0.0000 (multiplicity 1)  8 Se 2.93-2.97
B 0.0000 0.0000 0.5000 (multiplicity 1)  2 Se 1.83
Se 0.0181 0.1851 0.5808 (multiplicity 2)  1 B 1.83
Se 0.3816 0.1847 0.1471 (multiplicity 2)  1 Se 2.37
Se 0.4026 0.2985 0.8449 (multiplicity 2)  1 Se 2.37

***

Sr2HoAuO5 | GGA-PBE | relaxed

Output
* energy relative to the elements, uncorrected: -2.173 eV/atom
* raw total energy: -222.3 eV/cell
* volume: 555.1 Å³/cell

Unit cell a=3.5128 b=13.6613 c=11.5677 alpha=90.00 beta=90.00 gamma=90.00
With the nearest neighbours (Å) after each atom.
Space group Cmc2_1 (No. 36)
Unique sites:
Sr 0.0000 0.0901 0.0000 (multiplicity 4)  4 O 2.40-2.50
Sr 0.0000 0.1458 0.6126 (multiplicity 4)  6 O 2.53-2.72
Ho 0.0000 0.2140 0.3429 (multiplicity 4)  6 O 2.15-2.36
Au 0.0000 0.4738 0.7642 (multiplicity 4)  3 O 2.05-2.11
O 0.0000 0.0644 0.4008 (multiplicity 4)  1 Ho 2.15, 1 Sr 2.40
O 0.0000 0.2658 0.9688 (multiplicity 4)  2 Ho 2.30, 1 Sr 2.43
O 0.0000 0.3252 0.7150 (multiplicity 4)  1 Au 2.11, 2 Ho 2.36
O 0.0000 0.3783 0.3041 (multiplicity 4)  1 Au 2.07, 1 Ho 2.29
O 0.0000 0.4860 0.0933 (multiplicity 4)  1 Au 2.05

***

Sr2SnC | GGA-PBE | relaxed

Output
* DFT formation energy: 0.554 eV/atom
* density of states at the Fermi level: 1.002 states/eV per atom
* raw total energy: -57.5 eV/cell
* volume: 469.1 Å³/cell

Unit cell a=8.2469 b=8.2469 c=6.8969 alpha=90.00 beta=90.00 gamma=90.00
With the nearest neighbours (Å) after each atom.
Space group I-42d (No. 122)
Unique sites:
Sr 0.1643 0.2500 0.1250 (multiplicity 8)  2 C 2.61
Sn 0.0000 0.0000 0.5000 (multiplicity 4)  2 C 3.45, 8 Sr 3.56-3.57
C 0.0000 0.0000 0.0000 (multiplicity 4)  4 Sr 2.61

***

Co2Ru | GGA-PBE | relaxed

Output
* polymorph energy (0 for the lowest one): 0.034 eV per atom
* DFT formation energy: 0.157 eV/atom
* density of states at the Fermi level: 1.454 states/eV per atom
* raw total energy: -92.1 eV/cell
* volume: 140.5 Å³/cell

Unit cell a=5.0905 b=3.6156 c=7.6363 alpha=90.00 beta=90.00 gamma=90.00
With the nearest neighbours (Å) after each atom.
Space group Pnma (No. 62)
Unique sites:
Co 0.1230 0.2500 0.0838 (multiplicity 4)  5 Ru 2.50-2.59, 7 Co 2.54-2.56
Co 0.1230 0.2500 0.7495 (multiplicity 4)  5 Ru 2.54-2.56, 7 Co 2.54-2.56
Ru 0.1312 0.2500 0.4161 (multiplicity 4)  10 Co 2.50-2.59, 2 Ru 2.59

***

Mg2ZrBe | GGA-PBE | relaxed

Output
* DFT formation energy: 0.163 eV/atom
* density of states at the Fermi level: 0.806 states/eV per atom
* raw total energy: -29.6 eV/cell
* volume: 147.7 Å³/cell

Unit cell a=11.3284 b=3.0210 c=4.7469 alpha=90.00 beta=114.64 gamma=90.00
With the nearest neighbours (Å) after each atom.
Space group C2/m (No. 12)
Unique sites:
Mg 0.2121 0.0000 0.2120 (multiplicity 4)  2 Be 2.66, 4 Mg 2.92
Zr 0.0000 0.0000 0.5000 (multiplicity 2)  4 Be 2.81, 2 Zr 3.02
Be 0.0000 0.5000 0.0000 (multiplicity 2)  4 Mg 2.66, 4 Zr 2.81

***

TmNiGeRh | GGA-PBE | relaxed

Output
* polymorph energy (0 for the lowest one): 0.000 eV per atom
* DFT formation energy: -0.583 eV/atom
* density of states at the Fermi level: 0.921 states/eV per atom
* raw total energy: -98.2 eV/cell
* volume: 254.2 Å³/cell

Unit cell a=6.3349 b=6.3349 c=6.3349 alpha=90.00 beta=90.00 gamma=90.00
With the nearest neighbours (Å) after each atom.
Space group F-43m (No. 216)
Unique sites:
Tm 0.0000 0.0000 0.0000 (multiplicity 4)  4 Ni 2.74, 4 Rh 2.74
Ni 0.2500 0.2500 0.7500 (multiplicity 4)  4 Ge 2.74, 4 Tm 2.74
Ge 0.0000 0.0000 0.5000 (multiplicity 4)  4 Ni 2.74, 4 Rh 2.74
Rh 0.2500 0.2500 0.2500 (multiplicity 4)  4 Ge 2.74, 4 Tm 2.74

***

Nd2Al5Ag3 | GGA-PBE | relaxed

Output
* DFT formation energy: -0.386 eV/atom
* density of states at the Fermi level: 0.407 states/eV per atom
* raw total energy: -162.7 eV/cell
* volume: 830.7 Å³/cell

Unit cell a=10.8198 b=12.4181 c=6.1827 alpha=90.00 beta=90.00 gamma=90.00
With the nearest neighbours (Å) after each atom.
Space group Ibam (No. 72)
Unique sites:
Nd 0.2379 0.1298 0.0000 (multiplicity 8)  10 Al 3.26-3.48, 6 Ag 3.34-3.61
Al 0.0000 0.0000 0.2500 (multiplicity 4)  4 Ag 2.60
Al 0.0000 0.2668 0.2500 (multiplicity 8)  3 Ag 2.61-2.90, 2 Al 2.68
Al 0.1491 0.3864 0.0000 (multiplicity 8)  3 Ag 2.52-2.64, 2 Al 2.68
Ag 0.0000 0.5000 0.2500 (multiplicity 4)  6 Al 2.64-2.90
Ag 0.1189 0.1322 0.5000 (multiplicity 8)  5 Al 2.52-2.61

***

Ba2GdF | GGA-PBE | relaxed

Output
* energy relative to the elements, uncorrected: -0.966 eV/atom
* density of states at the Fermi level: 1.988 states/eV per atom
* raw total energy: -71.0 eV/cell
* volume: 430.0 Å³/cell

Unit cell a=3.9196 b=3.9196 c=32.3198 alpha=90.00 beta=90.00 gamma=120.00
With the nearest neighbours (Å) after each atom.
Space group R-3m (No. 166, hexagonal axes)
Unique sites:
Ba 0.0000 0.0000 0.1122 (multiplicity 6)  3 F 2.87
Gd 0.0000 0.0000 0.0000 (multiplicity 3)  2 Ba 3.63, 6 Gd 3.92
F 0.0000 0.0000 0.5000 (multiplicity 3)  6 Ba 2.87

***

Pu2Np3MoN6 | GGA-PBE | relaxed

Output
* energy relative to the elements, uncorrected: -1.027 eV/atom
* density of states at the Fermi level: 2.079 states/eV per atom
* raw total energy: -281.2 eV/cell
* volume: 326.4 Å³/cell

Unit cell a=5.8481 b=10.1194 c=5.8483 alpha=90.00 beta=109.42 gamma=90.00
With the nearest neighbours (Å) after each atom.
Space group C2/m (No. 12)
Unique sites:
Pu 0.0000 0.1666 0.0000 (multiplicity 4)  6 N 2.42-2.43
Np 0.0000 0.0000 0.5000 (multiplicity 2)  6 N 2.36-2.48
Np 0.0000 0.3337 0.5000 (multiplicity 4)  6 N 2.35-2.49
Mo 0.0000 0.5000 0.0000 (multiplicity 2)  6 N 2.28-2.30
N 0.2327 0.5000 0.7516 (multiplicity 4)  1 Mo 2.30, 3 Np 2.35-2.48, 2 Pu 2.43
N 0.2388 0.3424 0.2452 (multiplicity 8)  1 Mo 2.28, 3 Np 2.36-2.49, 2 Pu 2.42

***

Ni2HIrRh | GGA-PBE | relaxed

Output
* polymorph energy (0 for the lowest one): 0.000 eV per atom
* density of states at the Fermi level: 1.055 states/eV per atom
* raw total energy: -30.7 eV/cell
* volume: 53.2 Å³/cell

Unit cell a=3.7982 b=3.7982 c=3.6874 alpha=90.00 beta=90.00 gamma=90.00
With the nearest neighbours (Å) after each atom.
Space group P4/mmm (No. 123)
Unique sites:
Ni 0.0000 0.5000 0.0000 (multiplicity 2)  2 H 1.90
H 0.0000 0.0000 0.0000 (multiplicity 1)  2 Rh 1.84, 4 Ni 1.90
Ir 0.5000 0.5000 0.5000 (multiplicity 1)  8 Ni 2.65, 4 Rh 2.69
Rh 0.0000 0.0000 0.5000 (multiplicity 1)  2 H 1.84

***

NpUTcIr | GGA-PBE | relaxed

Output
* DFT formation energy: -0.088 eV/atom
* density of states at the Fermi level: 2.108 states/eV per atom
* raw total energy: -175.2 eV/cell
* volume: 311.5 Å³/cell

Unit cell a=6.7790 b=6.7790 c=6.7790 alpha=90.00 beta=90.00 gamma=90.00
With the nearest neighbours (Å) after each atom.
Space group F-43m (No. 216)
Unique sites:
Np 0.0000 0.0000 0.0000 (multiplicity 4)  4 Tc 2.94, 4 Ir 2.94
U 0.0000 0.0000 0.5000 (multiplicity 4)  4 Ir 2.94, 4 Tc 2.94
Tc 0.2500 0.2500 0.7500 (multiplicity 4)  4 U 2.94, 4 Np 2.94
Ir 0.2500 0.2500 0.2500 (multiplicity 4)  4 U 2.94, 4 Np 2.94

***

Pr2DyMnN4 | GGA-PBE | relaxed

Output
* energy relative to the elements, uncorrected: -0.896 eV/atom
* density of states at the Fermi level: 0.444 states/eV per atom
* raw total energy: -255.2 eV/cell
* volume: 499.1 Å³/cell

Unit cell a=3.4375 b=11.9731 c=12.1278 alpha=90.00 beta=90.00 gamma=90.00
With the nearest neighbours (Å) after each atom.
Space group Cmcm (No. 63)
Unique sites:
Pr 0.0000 0.1327 0.0423 (multiplicity 8)  4 N 2.40-2.56
Dy 0.0000 0.3711 0.2500 (multiplicity 4)  4 N 2.45
Mn 0.0000 0.3407 0.7500 (multiplicity 4)  4 N 1.89
N 0.0000 0.0932 0.2500 (multiplicity 4)  2 Mn 1.89
N 0.0000 0.2264 0.6422 (multiplicity 8)  1 Mn 1.89
N 0.0000 0.5000 0.0000 (multiplicity 4)  4 Pr 2.40

***

CaRe2Au | GGA-PBE | relaxed

Output
* polymorph energy (0 for the lowest one): 0.711 eV per atom
* DFT formation energy: 0.871 eV/atom
* density of states at the Fermi level: 0.599 states/eV per atom
* raw total energy: -26.7 eV/cell
* volume: 81.2 Å³/cell

Unit cell a=3.4963 b=3.4963 c=6.6385 alpha=90.00 beta=90.00 gamma=90.00
With the nearest neighbours (Å) after each atom.
Space group P4/mmm (No. 123)
Unique sites:
Ca 0.0000 0.0000 0.0000 (multiplicity 1)  8 Re 3.27, 2 Au 3.32, 4 Ca 3.50
Re 0.5000 0.5000 0.3221 (multiplicity 2)  1 Re 2.36
Au 0.0000 0.0000 0.5000 (multiplicity 1)  8 Re 2.74

***

CsLaCeI6 | GGA-PBE | relaxed

Output
* energy relative to the elements, uncorrected: -1.318 eV/atom
* density of states at the Fermi level: 1.391 states/eV per atom
* raw total energy: -131.5 eV/cell
* volume: 2126.6 Å³/cell

Unit cell a=11.4045 b=11.5210 c=16.1849 alpha=90.00 beta=90.00 gamma=90.00
With the nearest neighbours (Å) after each atom.
Space group Imma (No. 74)
Unique sites:
Cs 0.0000 0.2500 0.1325 (multiplicity 4)  6 I 4.52-4.69
La 0.2500 0.2500 0.7500 (multiplicity 4)  6 I 3.22
Ce 0.0000 0.0000 0.5000 (multiplicity 4)  6 I 3.22
I 0.0000 0.2500 0.4117 (multiplicity 4)  2 Ce 3.22
I 0.0000 0.2500 0.8425 (multiplicity 4)  2 La 3.22
I 0.2157 0.0344 0.6257 (multiplicity 16)  1 Ce 3.22, 1 La 3.22

***

LaRuRh2 | GGA-PBE | relaxed

Output
* polymorph energy (0 for the lowest one): 0.114 eV per atom
* DFT formation energy: 0.016 eV/atom
* density of states at the Fermi level: 1.116 states/eV per atom
* raw total energy: -57.7 eV/cell
* volume: 144.0 Å³/cell

Unit cell a=9.4412 b=3.0661 c=5.0773 alpha=90.00 beta=101.62 gamma=90.00
With the nearest neighbours (Å) after each atom.
Space group C2/m (No. 12)
Unique sites:
La 0.0000 0.0000 0.0000 (multiplicity 2)  6 Rh 2.93-3.04, 4 Ru 2.97, 2 La 3.07
Ru 0.0000 0.5000 0.5000 (multiplicity 2)  6 Rh 2.74-2.88, 4 La 2.97, 2 Ru 3.07
Rh 0.2373 0.0000 0.7060 (multiplicity 4)  2 Rh 2.64, 3 Ru 2.74-2.88, 1 La 2.93

***

YTm2Al3 | GGA-PBE | relaxed

Output
* DFT formation energy: -0.398 eV/atom
* density of states at the Fermi level: 0.405 states/eV per atom
* raw total energy: -29.0 eV/cell
* volume: 136.3 Å³/cell

Unit cell a=3.5650 b=3.5650 c=10.7280 alpha=90.00 beta=90.00 gamma=90.00
With the nearest neighbours (Å) after each atom.
Space group P4/mmm (No. 123)
Unique sites:
Y 0.0000 0.0000 0.0000 (multiplicity 1)  8 Al 3.12
Tm 0.0000 0.0000 0.3358 (multiplicity 2)  8 Al 3.07-3.08
Al 0.5000 0.5000 0.1721 (multiplicity 2)  4 Tm 3.07, 4 Y 3.12
Al 0.5000 0.5000 0.5000 (multiplicity 1)  8 Tm 3.08

***

Ba2ScSb3Pt4 | GGA-PBE | relaxed

Output
* energy relative to the elements, uncorrected: -0.882 eV/atom
* density of states at the Fermi level: 0.601 states/eV per atom
* raw total energy: -55.5 eV/cell
* volume: 245.1 Å³/cell

Unit cell a=4.7104 b=4.7104 c=11.0446 alpha=90.00 beta=90.00 gamma=90.00
With the nearest neighbours (Å) after each atom.
Space group P-4m2 (No. 115)
Unique sites:
Ba 0.0000 0.5000 0.2389 (multiplicity 2)  8 Pt 3.54-3.64, 6 Sb 3.56-3.72, 2 Sc 3.72
Sc 0.0000 0.0000 0.5000 (multiplicity 1)  4 Pt 2.75
Sb 0.0000 0.5000 0.8753 (multiplicity 2)  5 Pt 2.73
Sb 0.5000 0.5000 0.5000 (multiplicity 1)  4 Pt 2.75
Pt 0.0000 0.0000 0.0000 (multiplicity 1)  4 Sb 2.73
Pt 0.0000 0.5000 0.6284 (multiplicity 2)  3 Sb 2.73-2.75, 2 Sc 2.75
Pt 0.5000 0.5000 0.0000 (multiplicity 1)  4 Sb 2.73

***

LaThGa2Rh5 | GGA-PBE | relaxed

Output
* DFT formation energy: -0.667 eV/atom
* density of states at the Fermi level: 0.215 states/eV per atom
* raw total energy: -61.2 eV/cell
* volume: 166.8 Å³/cell

Unit cell a=4.5356 b=4.5356 c=8.1096 alpha=90.00 beta=90.00 gamma=90.00
With the nearest neighbours (Å) after each atom.
Space group P4/mmm (No. 123)
Unique sites:
La 0.0000 0.0000 0.0000 (multiplicity 1)  12 Rh 3.00-3.21
Th 0.0000 0.0000 0.5000 (multiplicity 1)  8 Rh 3.08
Ga 0.5000 0.5000 0.3417 (multiplicity 2)  4 Rh 2.41, 1 Ga 2.57
Rh 0.0000 0.5000 0.2428 (multiplicity 4)  2 Ga 2.41
Rh 0.5000 0.5000 0.0000 (multiplicity 1)  2 Ga 2.77, 8 Rh 3.00

***

InSi2PI | GGA-PBE | relaxed

Output
* energy relative to the elements, uncorrected: 1.432 eV/atom
* density of states at the Fermi level: 0.811 states/eV per atom
* raw total energy: -13.4 eV/cell
* volume: 157.5 Å³/cell

Unit cell a=5.2286 b=5.2286 c=5.7626 alpha=90.00 beta=90.00 gamma=90.00
With the nearest neighbours (Å) after each atom.
Space group P4/mmm (No. 123)
Unique sites:
In 0.0000 0.0000 0.0000 (multiplicity 1)  4 Si 2.61, 2 I 2.88
Si 0.0000 0.5000 0.0000 (multiplicity 2)  2 In 2.61
P 0.5000 0.5000 0.5000 (multiplicity 1)  4 I 3.70, 8 Si 3.89
I 0.0000 0.0000 0.5000 (multiplicity 1)  2 In 2.88